[1]
Entry from Alexandria: a crystal of CaNbRh3 relaxed with PBEsol (SCAN).

The structure in POSCAR format:
```
CaNbRh3
1.0
4.708 0.000 0.000
0.000 4.708 0.000
0.000 0.000 4.708
Ca Nb Rh
1 1 3
Cartesian
0.000 0.000 0.000
2.354 2.354 2.354
0.000 2.354 2.354
2.354 0.000 2.354
2.354 2.354 0.000
```

- excess energy over the best structure of this formula in the dataset (kJ/mol of atoms) = 0.00
- calculated total energy (eV per cell) = -142.79
- M_tot (μB per formula unit) = 0.000
- space group = No. 221
- N(E_F) (states/eV/cell) = 1.30
- formation energy from the elements (eV/atom) = 0.264

[2]
Entry from Alexandria: a crystal of TcHgTe2N relaxed with PBEsol (SCAN).

The structure in POSCAR format:
```
TcHgTe2N
1.0
5.392 0.000 0.000
0.000 5.392 0.000
0.000 0.000 3.664
Tc Hg Te N
1 1 2 1
Cartesian
0.000 0.000 0.000
2.696 2.696 1.832
0.000 2.696 0.000
2.696 0.000 0.000
0.000 0.000 1.832
```

- calculated total energy (eV per cell) = -185.94
- M_tot (μB per formula unit) = 0.000
- space group = No. 123
- N(E_F) (states/eV/cell) = 1.72

[3]
Entry from Alexandria: a crystal of Sr2PtPb relaxed with PBEsol (SCAN).

The structure in POSCAR format:
```
Sr2PtPb
1.0
-1.844 2.601 6.073
1.844 -2.601 6.073
1.844 2.601 -6.073
Sr Pt Pb
2 1 1
Cartesian
0.000 0.000 0.000
0.000 2.601 2.456
0.000 0.000 5.918
1.844 0.000 3.762
```

- calculated total energy (eV per cell) = -193.18
- M_tot (μB per formula unit) = 0.000
- space group = No. 44
- N(E_F) (states/eV/cell) = 2.59
- formation energy from the elements (eV/atom) = -0.663